# TcHg2Pb

A crystal of TcHg2Pb relaxed with PBEsol (SCAN, the Alexandria database).

Unit cell a=3.202 b=4.889 c=5.554 alpha=90.00 beta=105.05 gamma=90.00
Fractional coordinates of all 4 atoms:
Tc1 0.000 0.000 0.000
Hg1 0.376 0.500 0.226
Hg2 0.624 0.500 0.774
Pb1 0.000 0.000 0.500

Formation enthalpy at 0 K in eV per atom: 0.58
Spin magnetization in μB per formula unit: 1.84
Raw total energy in eV per cell: -244.8
DOS at the Fermi energy in states/eV/f.u.: 1.838
Symmetry: P2/m (10)